# 1
{
  "formula": "Th4GaPd3",
  "functional": "GGA-PBE",
  "state": "optimized geometry",
  "lattice": [[4.0799, 0.0000, 0.0000], [0.0000, 4.3522, 0.0000], [0.0000, 0.0000, 11.2593]],
  "species": ["Th", "Th", "Th", "Th", "Ga", "Pd", "Pd", "Pd"],
  "fractional_positions": [[0.0000, 0.0000, 0.0000], [0.0000, 0.5000, 0.2801], [0.5000, 0.0000, 0.5113], [0.5000, 0.5000, 0.7947], [0.0000, 0.0000, 0.7245], [0.0000, 0.5000, 0.5590], [0.5000, 0.0000, 0.2439], [0.5000, 0.5000, 0.0718]]
}

***

# 2
{
  "formula": "ThGaPd2",
  "functional": "GGA-PBE",
  "state": "optimized geometry",
  "lattice": [[7.7071, 0.0000, 0.0000], [0.0000, 7.0320, 0.0000], [0.0000, 0.0000, 5.8359]],
  "species": ["Th", "Th", "Th", "Th", "Ga", "Ga", "Ga", "Ga", "Pd", "Pd", "Pd", "Pd", "Pd", "Pd", "Pd", "Pd"],
  "fractional_positions": [[0.0437, 0.2500, 0.1605], [0.4563, 0.7500, 0.6605], [0.5437, 0.2500, 0.3395], [0.9563, 0.7500, 0.8395], [0.1123, 0.7500, 0.3379], [0.3877, 0.2500, 0.8379], [0.6123, 0.7500, 0.1621], [0.8877, 0.2500, 0.6621], [0.1823, 0.0493, 0.5873], [0.1823, 0.4507, 0.5873], [0.3177, 0.5493, 0.0873], [0.3177, 0.9507, 0.0873], [0.6823, 0.0493, 0.9127], [0.6823, 0.4507, 0.9127], [0.8177, 0.5493, 0.4127], [0.8177, 0.9507, 0.4127]]
}

***

# 3
{
  "formula": "Th3Ga9Pd2",
  "functional": "GGA-PBE",
  "state": "optimized geometry",
  "lattice": [[-2.1770, 5.0823, 6.2530], [2.1770, -5.0823, 6.2530], [2.1770, 5.0823, -6.2530]],
  "species": ["Th", "Th", "Th", "Ga", "Ga", "Ga", "Ga", "Ga", "Ga", "Ga", "Ga", "Ga", "Pd", "Pd"],
  "fractional_positions": [[0.0000, 0.0000, 0.0000], [0.3219, 0.3219, 0.0000], [0.6781, 0.6781, 0.0000], [0.0397, 0.6680, 0.3717], [0.1450, 0.8710, 0.2740], [0.2963, 0.6680, 0.6283], [0.4031, 0.1290, 0.2740], [0.5000, 0.0000, 0.5000], [0.5969, 0.8710, 0.7260], [0.7037, 0.3320, 0.3717], [0.8550, 0.1290, 0.7260], [0.9603, 0.3320, 0.6283], [0.2758, 0.5000, 0.7758], [0.7242, 0.5000, 0.2242]]
}

***

# 4
{
  "formula": "ThGa3Pd3",
  "functional": "GGA-PBE",
  "state": "optimized geometry",
  "lattice": [[6.7581, 0.0000, 0.0000], [0.0000, 6.7581, 0.0000], [0.0000, 0.0000, 6.7581]],
  "species": ["Th", "Th", "Ga", "Ga", "Ga", "Ga", "Ga", "Ga", "Pd", "Pd", "Pd", "Pd", "Pd", "Pd"],
  "fractional_positions": [[0.0000, 0.0000, 0.0000], [0.5000, 0.5000, 0.5000], [0.0000, 0.2500, 0.5000], [0.0000, 0.7500, 0.5000], [0.2500, 0.5000, 0.0000], [0.5000, 0.0000, 0.2500], [0.5000, 0.0000, 0.7500], [0.7500, 0.5000, 0.0000], [0.0000, 0.5000, 0.2500], [0.0000, 0.5000, 0.7500], [0.2500, 0.0000, 0.5000], [0.5000, 0.2500, 0.0000], [0.5000, 0.7500, 0.0000], [0.7500, 0.0000, 0.5000]],
  "polymorph_energy_mev_per_atom": 349
}

***

# 5
{
  "formula": "Th2GaPd",
  "functional": "GGA-PBE",
  "state": "optimized geometry",
  "lattice": [[1.6695, 0.9639, 10.5665], [-1.6695, 0.9639, 10.5665], [0.0000, -1.9277, 10.5665]],
  "species": ["Th", "Th", "Ga", "Pd"],
  "fractional_positions": [[0.0861, 0.0861, 0.0861], [0.9139, 0.9139, 0.9139], [0.5000, 0.5000, 0.5000], [0.0000, 0.0000, 0.0000]],
  "polymorph_energy_mev_per_atom": 589
}

***

# 6
{
  "formula": "ThGa2Pd7",
  "functional": "GGA-PBE",
  "state": "optimized geometry",
  "lattice": [[3.6886, -6.1066, 0.0000], [3.6886, 6.1066, 0.0000], [0.0000, 0.0000, 4.5601]],
  "species": ["Th", "Ga", "Ga", "Pd", "Pd", "Pd", "Pd", "Pd", "Pd", "Pd"],
  "fractional_positions": [[0.0000, 0.0000, 0.0000], [0.3009, 0.6991, 0.5000], [0.6991, 0.3009, 0.5000], [0.0680, 0.3073, 0.5000], [0.2256, 0.7744, 0.0000], [0.3073, 0.0680, 0.5000], [0.5000, 0.5000, 0.5000], [0.6927, 0.9320, 0.5000], [0.7744, 0.2256, 0.0000], [0.9320, 0.6927, 0.5000]],
  "polymorph_energy_mev_per_atom": 329
}

***

# 7
{
  "formula": "Th2Ga5Pd",
  "functional": "GGA-PBE",
  "state": "optimized geometry",
  "lattice": [[-3.1264, 3.1264, 4.4336], [3.1264, -3.1264, 4.4336], [3.1264, 3.1264, -4.4336]],
  "species": ["Th", "Th", "Ga", "Ga", "Ga", "Ga", "Ga", "Pd"],
  "fractional_positions": [[0.0000, 0.5000, 0.5000], [0.5000, 0.0000, 0.5000], [0.0208, 0.0208, 0.0000], [0.0363, 0.0363, 0.5752], [0.0363, 0.4610, 0.0000], [0.4610, 0.0363, 0.0000], [0.4610, 0.4610, 0.4248], [0.7289, 0.7289, 0.0000]]
}

***

# 8
{
  "formula": "ThGa2Pd3",
  "functional": "GGA-PBE",
  "state": "optimized geometry",
  "lattice": [[8.4818, -2.0418, 0.0000], [8.4818, 2.0418, 0.0000], [-3.0618, 0.0000, 9.6255]],
  "species": ["Th", "Th", "Th", "Ga", "Ga", "Ga", "Ga", "Ga", "Ga", "Pd", "Pd", "Pd", "Pd", "Pd", "Pd", "Pd", "Pd", "Pd"],
  "fractional_positions": [[0.0000, 0.0000, 0.0000], [0.1613, 0.1613, 0.7006], [0.8387, 0.8387, 0.2994], [0.1967, 0.1967, 0.1264], [0.3628, 0.3628, 0.5496], [0.4605, 0.4605, 0.2253], [0.5395, 0.5395, 0.7747], [0.6372, 0.6372, 0.4504], [0.8033, 0.8033, 0.8736], [0.0432, 0.0432, 0.3348], [0.2181, 0.2181, 0.3901], [0.3221, 0.3221, 0.0386], [0.3859, 0.3859, 0.8106], [0.5000, 0.5000, 0.5000], [0.6141, 0.6141, 0.1894], [0.6779, 0.6779, 0.9614], [0.7819, 0.7819, 0.6099], [0.9568, 0.9568, 0.6652]]
}

***

| no. | size of the total moment (Bohr magnetons per cell) | electronic total energy (eV/atom) |
| --- | --- | --- |
| 1 | 0.00 | -6.707 |
| 2 | 0.00 | -6.057 |
| 3 | 0.00 | -4.878 |
| 4 | 0.00 | -4.819 |
| 5 | 0.00 | -5.777 |
| 6 | 0.00 | -5.341 |
| 7 | 0.00 | -4.901 |
| 8 | 0.00 | -5.610 |